Run a
# ScSe4, relaxed, DFT PBE
# DOS at the Fermi energy (states/eV per atom): 1.1694
data_ScSe4
_cell_length_a 5.124
_cell_length_b 5.124
_cell_length_c 5.124
_cell_angle_alpha 90.00
_cell_angle_beta 90.00
_cell_angle_gamma 90.00
_space_group_name_H-M_alt 'P m -3 m'
_space_group_IT_number 221
_space_group_name_Hall '-P 4 2 3'
loop_
_atom_site_label
_atom_site_type_symbol
_atom_site_fract_x
_atom_site_fract_y
_atom_site_fract_z
Sc1 Sc 0.000 0.000 0.000
Se1 Se 0.000 0.000 0.500
Se2 Se 0.500 0.500 0.500

=====

Run b
# ScSe4, relaxed, DFT PBE
# DOS at the Fermi energy (states/eV per atom): 0.6316
data_ScSe4
_cell_length_a 7.333
_cell_length_b 7.333
_cell_length_c 4.711
_cell_angle_alpha 90.00
_cell_angle_beta 90.00
_cell_angle_gamma 90.00
_space_group_name_H-M_alt 'I 4/m'
_space_group_IT_number 87
_space_group_name_Hall '-I 4'
loop_
_atom_site_label
_atom_site_type_symbol
_atom_site_fract_x
_atom_site_fract_y
_atom_site_fract_z
Sc1 Sc 0.000 0.000 0.000
Se1 Se 0.194 0.292 0.500

=====

Run c
# ScSe4, relaxed, DFT PBE
# DOS at the Fermi energy (states/eV per atom): 0.6824
data_ScSe4
_cell_length_a 6.274
_cell_length_b 6.274
_cell_length_c 6.274
_cell_angle_alpha 90.00
_cell_angle_beta 90.00
_cell_angle_gamma 90.00
_space_group_name_H-M_alt 'I m -3 m'
_space_group_IT_number 229
_space_group_name_Hall '-I 4 2 3'
loop_
_atom_site_label
_atom_site_type_symbol
_atom_site_fract_x
_atom_site_fract_y
_atom_site_fract_z
Sc1 Sc 0.000 0.000 0.000
Se1 Se 0.250 0.250 0.250

=====

Which is the most stable structure? run b is the most stable.

=====

Run a
# Sc3Se5, relaxed, DFT PBE
# DOS at the Fermi energy (states/eV per atom): 0.4233
data_Sc3Se5
_cell_length_a 14.118
_cell_length_b 14.910
_cell_length_c 6.641
_cell_angle_alpha 90.00
_cell_angle_beta 90.00
_cell_angle_gamma 90.00
_space_group_name_H-M_alt 'F m m 2'
_space_group_IT_number 42
_space_group_name_Hall 'F 2 -2'
loop_
_atom_site_label
_atom_site_type_symbol
_atom_site_fract_x
_atom_site_fract_y
_atom_site_fract_z
Sc1 Sc 0.000 0.149 0.000
Sc2 Sc 0.152 0.000 0.494
Sc3 Sc 0.250 0.250 0.119
Se1 Se 0.000 0.000 0.222
Se2 Se 0.000 0.000 0.736
Se3 Se 0.103 0.187 0.376
Se4 Se 0.194 0.108 0.867

=====

Run b
# Sc3Se5, relaxed, DFT PBE
# DOS at the Fermi energy (states/eV per atom): 0.6279
data_Sc3Se5
_cell_length_a 7.239
_cell_length_b 8.562
_cell_length_c 5.218
_cell_angle_alpha 90.00
_cell_angle_beta 90.00
_cell_angle_gamma 90.00
_space_group_name_H-M_alt 'C m m m'
_space_group_IT_number 65
_space_group_name_Hall '-C 2 2'
loop_
_atom_site_label
_atom_site_type_symbol
_atom_site_fract_x
_atom_site_fract_y
_atom_site_fract_z
Sc1 Sc 0.000 0.000 0.000
Sc2 Sc 0.000 0.291 0.500
Se1 Se 0.000 0.500 0.000
Se2 Se 0.205 0.000 0.500
Se3 Se 0.250 0.250 0.000

=====

Which is the most stable structure? run a is the most stable.

=====

Run a
# Sc3SiSe2, relaxed, DFT PBE
# DOS at the Fermi energy (states/eV per atom): 0.2519
data_Sc3SiSe2
_cell_length_a 6.746
_cell_length_b 11.614
_cell_length_c 6.687
_cell_angle_alpha 90.00
_cell_angle_beta 109.70
_cell_angle_gamma 90.00
_space_group_name_H-M_alt 'C 1 2/c 1'
_space_group_IT_number 15
loop_
_space_group_symop_operation_xyz
'x,y,z'
'-x,-y,-z'
'-x,y,-z+1/2'
'x,-y,z+1/2'
'x+1/2,y+1/2,z'
'-x+1/2,-y+1/2,-z'
'-x+1/2,y+1/2,-z+1/2'
'x+1/2,-y+1/2,z+1/2'
loop_
_atom_site_label
_atom_site_type_symbol
_atom_site_fract_x
_atom_site_fract_y
_atom_site_fract_z
Sc1 Sc 0.233 0.078 0.499
Sc2 Sc 0.250 0.250 0.000
Si1 Si 0.000 0.087 0.750
Se1 Se 0.000 0.254 0.250
Se2 Se 0.000 0.417 0.750

=====

Run b
# Sc3SiSe2, relaxed, DFT PBE
# DOS at the Fermi energy (states/eV per atom): 0.3719
data_Sc3SiSe2
_cell_length_a 3.866
_cell_length_b 5.459
_cell_length_c 11.687
_cell_angle_alpha 90.00
_cell_angle_beta 90.00
_cell_angle_gamma 90.00
_space_group_name_H-M_alt 'I m m m'
_space_group_IT_number 71
_space_group_name_Hall '-I 2 2'
loop_
_atom_site_label
_atom_site_type_symbol
_atom_site_fract_x
_atom_site_fract_y
_atom_site_fract_z
Sc1 Sc 0.000 0.000 0.000
Sc2 Sc 0.000 0.000 0.343
Si1 Si 0.000 0.500 0.000
Se1 Se 0.000 0.500 0.331

=====

Which is the most stable structure? run a is the most stable.

=====

Run a
# ScSiSe4, relaxed, DFT PBE
# DOS at the Fermi energy (states/eV per atom): 0.7139
data_ScSiSe4
_cell_length_a 7.979
_cell_length_b 7.979
_cell_length_c 7.979
_cell_angle_alpha 90.00
_cell_angle_beta 90.00
_cell_angle_gamma 90.00
_space_group_name_H-M_alt 'F -4 3 m'
_space_group_IT_number 216
_space_group_name_Hall 'F -4 2 3'
loop_
_atom_site_label
_atom_site_type_symbol
_atom_site_fract_x
_atom_site_fract_y
_atom_site_fract_z
Sc1 Sc 0.000 0.000 0.000
Si1 Si 0.250 0.250 0.250
Se1 Se 0.125 0.125 0.625

=====

Run b
# ScSiSe4, relaxed, DFT PBE
# DOS at the Fermi energy (states/eV per atom): 0.9034
data_ScSiSe4
_cell_length_a 6.337
_cell_length_b 6.337
_cell_length_c 8.870
_cell_angle_alpha 90.00
_cell_angle_beta 90.00
_cell_angle_gamma 90.00
_space_group_name_H-M_alt 'P -4 2 c'
_space_group_IT_number 112
loop_
_space_group_symop_operation_xyz
'x,y,z'
'y,-x,-z'
'-x,-y,z'
'-y,x,-z'
'x,-y,-z+1/2'
'y,x,z+1/2'
'-x,y,-z+1/2'
'-y,-x,z+1/2'
loop_
_atom_site_label
_atom_site_type_symbol
_atom_site_fract_x
_atom_site_fract_y
_atom_site_fract_z
Sc1 Sc 0.000 0.000 0.000
Si1 Si 0.000 0.500 0.250
Se1 Se 0.235 0.283 0.372

=====

Which is the most stable structure? run b is the most stable.

=====

Run a
# SmSc3Se4, relaxed, DFT PBE
# DOS at the Fermi energy (states/eV per atom): 0.7137
data_SmSc3Se4
_cell_length_a 3.9064
_cell_length_b 3.9064
_cell_length_c 26.4254
_cell_angle_alpha 90.00
_cell_angle_beta 90.00
_cell_angle_gamma 120.00
_space_group_name_H-M_alt 'P 63/m m c'
_space_group_IT_number 194
_space_group_name_Hall '-P 6c 2c'
loop_
_atom_site_label
_atom_site_type_symbol
_atom_site_fract_x
_atom_site_fract_y
_atom_site_fract_z
Sm1 Sm 0.3333 0.6667 0.2500
Sc1 Sc 0.0000 0.0000 0.0000
Sc2 Sc 0.3333 0.6667 0.6190
Se1 Se 0.0000 0.0000 0.1777
Se2 Se 0.3333 0.6667 0.0596

=====

Run b
# SmSc3Se4, relaxed, DFT PBE
# DOS at the Fermi energy (states/eV per atom): 0.6519
data_SmSc3Se4
_cell_length_a 7.972
_cell_length_b 11.194
_cell_length_c 3.926
_cell_angle_alpha 90.00
_cell_angle_beta 90.00
_cell_angle_gamma 90.00
_space_group_name_H-M_alt 'C m m m'
_space_group_IT_number 65
_space_group_name_Hall '-C 2 2'
loop_
_atom_site_label
_atom_site_type_symbol
_atom_site_fract_x
_atom_site_fract_y
_atom_site_fract_z
Sm1 Sm 0.000 0.000 0.000
Sc1 Sc 0.000 0.500 0.000
Sc2 Sc 0.250 0.250 0.500
Se1 Se 0.000 0.258 0.000
Se2 Se 0.234 0.500 0.500

=====

Which is the most stable structure? run a is the most stable.

=====

Run a
# SmScSe3

A geometry-optimized SmScSe3 structure (PBE, Alexandria).

```
data_SmScSe3
_cell_length_a 7.804
_cell_length_b 3.993
_cell_length_c 8.149
_cell_angle_alpha 90.00
_cell_angle_beta 96.11
_cell_angle_gamma 90.00
_space_group_name_H-M_alt 'P 1 21/m 1'
_space_group_IT_number 11
loop_
_space_group_symop_operation_xyz
'x,y,z'
'-x,-y,-z'
'-x,y+1/2,-z'
'x,-y+1/2,z'
loop_
_atom_site_label
_atom_site_type_symbol
_atom_site_fract_x
_atom_site_fract_y
_atom_site_fract_z
Sm1 Sm 0.126 0.250 0.275
Sc1 Sc 0.351 0.750 0.832
Se1 Se 0.127 0.250 0.893
Se2 Se 0.197 0.750 0.534
Se3 Se 0.407 0.750 0.177
```

=====

Run b
# SmScSe3, relaxed, DFT PBE
# DOS at the Fermi energy (states/eV per atom): 0.0040
data_SmScSe3
_cell_length_a 8.406
_cell_length_b 3.941
_cell_length_c 14.676
_cell_angle_alpha 90.00
_cell_angle_beta 90.00
_cell_angle_gamma 90.00
_space_group_name_H-M_alt 'P n m a'
_space_group_IT_number 62
loop_
_space_group_symop_operation_xyz
'x,y,z'
'-x,-y,-z'
'-x+1/2,-y,z+1/2'
'x+1/2,y,-z+1/2'
'x+1/2,-y+1/2,-z+1/2'
'-x+1/2,y+1/2,z+1/2'
'-x,y+1/2,-z'
'x,-y+1/2,z'
loop_
_atom_site_label
_atom_site_type_symbol
_atom_site_fract_x
_atom_site_fract_y
_atom_site_fract_z
Sm1 Sm 0.143 0.250 0.198
Sc1 Sc 0.184 0.750 0.460
Se1 Se 0.003 0.250 0.387
Se2 Se 0.152 0.250 0.798
Se3 Se 0.158 0.750 0.048

=====

Which is the most stable structure? run a is the most stable.

=====

Run a
# SrScSe2, relaxed, DFT PBE
# DOS at the Fermi energy (states/eV per atom): 0.6101
data_SrScSe2
_cell_length_a 6.589
_cell_length_b 6.589
_cell_length_c 12.542
_cell_angle_alpha 90.00
_cell_angle_beta 90.00
_cell_angle_gamma 90.00
_space_group_name_H-M_alt 'I -4 2 d'
_space_group_IT_number 122
_space_group_name_Hall 'I -4 2bw'
loop_
_atom_site_label
_atom_site_type_symbol
_atom_site_fract_x
_atom_site_fract_y
_atom_site_fract_z
Sr1 Sr 0.000 0.000 0.000
Sc1 Sc 0.000 0.000 0.500
Se1 Se 0.201 0.250 0.625

=====

Run b
# SrScSe2, relaxed, DFT PBE
# DOS at the Fermi energy (states/eV per atom): 0.5920
data_SrScSe2
_cell_length_a 3.740
_cell_length_b 3.866
_cell_length_c 14.145
_cell_angle_alpha 90.00
_cell_angle_beta 90.00
_cell_angle_gamma 90.00
_space_group_name_H-M_alt 'I m m 2'
_space_group_IT_number 44
loop_
_space_group_symop_operation_xyz
'x,y,z'
'-x,-y,z'
'-x,y,z'
'x,-y,z'
'x+1/2,y+1/2,z+1/2'
'-x+1/2,-y+1/2,z+1/2'
'-x+1/2,y+1/2,z+1/2'
'x+1/2,-y+1/2,z+1/2'
loop_
_atom_site_label
_atom_site_type_symbol
_atom_site_fract_x
_atom_site_fract_y
_atom_site_fract_z
Sr1 Sr 0.000 0.000 0.000
Sc1 Sc 0.000 0.500 0.750
Se1 Se 0.000 0.000 0.393
Se2 Se 0.000 0.500 0.176

=====

Run c
# SrScSe2, relaxed, DFT PBE
# DOS at the Fermi energy (states/eV per atom): 0.9835
data_SrScSe2
_cell_length_a 7.233
_cell_length_b 7.233
_cell_length_c 7.233
_cell_angle_alpha 90.00
_cell_angle_beta 90.00
_cell_angle_gamma 90.00
_space_group_name_H-M_alt 'F m -3 m'
_space_group_IT_number 225
_space_group_name_Hall '-F 4 2 3'
loop_
_atom_site_label
_atom_site_type_symbol
_atom_site_fract_x
_atom_site_fract_y
_atom_site_fract_z
Sr1 Sr 0.000 0.000 0.000
Sc1 Sc 0.000 0.000 0.500
Se1 Se 0.250 0.250 0.250

=====

Run d
# SrScSe2, relaxed, DFT PBE
# DOS at the Fermi energy (states/eV per atom): 0.3855
data_SrScSe2
_cell_length_a 4.0532
_cell_length_b 4.0532
_cell_length_c 26.6070
_cell_angle_alpha 90.00
_cell_angle_beta 90.00
_cell_angle_gamma 120.00
_space_group_name_H-M_alt 'R -3 m'
_space_group_IT_number 166
_space_group_name_Hall '-R 3 2"'
loop_
_atom_site_label
_atom_site_type_symbol
_atom_site_fract_x
_atom_site_fract_y
_atom_site_fract_z
Sr1 Sr 0.0000 0.0000 0.0000
Sc1 Sc 0.0000 0.0000 0.5000
Se1 Se 0.0000 0.0000 0.1121

=====

Which is the most stable structure? run b is the most stable.

=====

Run a
# SrScSe2, relaxed, DFT PBE
# DOS at the Fermi energy (states/eV per atom): 0.3669
data_SrScSe2
_cell_length_a 4.060
_cell_length_b 6.716
_cell_length_c 8.167
_cell_angle_alpha 90.00
_cell_angle_beta 90.00
_cell_angle_gamma 90.00
_space_group_name_H-M_alt 'I m m m'
_space_group_IT_number 71
_space_group_name_Hall '-I 2 2'
loop_
_atom_site_label
_atom_site_type_symbol
_atom_site_fract_x
_atom_site_fract_y
_atom_site_fract_z
Sr1 Sr 0.000 0.000 0.000
Sc1 Sc 0.000 0.000 0.500
Se1 Se 0.000 0.500 0.215

=====

Run b
# SrScSe2, relaxed, DFT PBE
# DOS at the Fermi energy (states/eV per atom): 0.4600
data_SrScSe2
_cell_length_a 4.171
_cell_length_b 4.171
_cell_length_c 5.888
_cell_angle_alpha 90.00
_cell_angle_beta 90.00
_cell_angle_gamma 90.00
_space_group_name_H-M_alt 'P 4/m m m'
_space_group_IT_number 123
_space_group_name_Hall '-P 4 2'
loop_
_atom_site_label
_atom_site_type_symbol
_atom_site_fract_x
_atom_site_fract_y
_atom_site_fract_z
Sr1 Sr 0.000 0.000 0.000
Sc1 Sc 0.500 0.500 0.500
Se1 Se 0.000 0.000 0.500
Se2 Se 0.500 0.500 0.000

=====

Which is the most stable structure? run b is the most stable.